(1)
VASP calculation (PBE) on a geometry-optimized ReTcIr2Pb structure.

abc: 4.9088 4.9088 4.9962
angles: 90.00 90.00 90.00
Closest atoms and distances in Å follow each position.
Sites, in units of the cell vectors:
Re  0.0000  0.0000  0.0000  2 Pb 2.50
Tc  0.5000  0.5000  0.0000  4 Re 3.47, 8 Ir 3.50
Ir  0.0000  0.5000  0.5000  2 Pb 2.45
Ir  0.5000  0.0000  0.5000  2 Pb 2.45
Pb  0.0000  0.0000  0.5000  4 Ir 2.45, 2 Re 2.50

- Magnetization: 2.1 μB/f.u.
- Energy relative to the elements: 2929.8 meV per atom
- Total DFT energy (no corrections): -5.92 eV/atom

***

(2)
VASP calculation (PBE) on a geometry-optimized Ir2RhPb structure.

abc: 4.7643 4.7643 5.1172
angles: 100.24 100.24 36.25
Closest atoms and distances in Å follow each position.
Sites, in units of the cell vectors:
Ir  0.0000  0.0000  0.0000  5 Ir 2.69-2.96, 2 Rh 2.70, 3 Pb 2.93
Ir  0.7440  0.7440  0.1972  5 Ir 2.69-2.96, 3 Rh 2.78-2.79, 4 Pb 2.95-2.96
Rh  0.4919  0.4919  0.4383  5 Ir 2.70-2.79, 3 Pb 2.81-2.84, 2 Rh 2.96
Pb  0.2450  0.2450  0.6983  3 Rh 2.81-2.84, 7 Ir 2.93-2.96, 2 Pb 2.96

- Magnetization: 0.0 μB/f.u.
- Energy relative to the elements: 331.4 meV per atom
- Total DFT energy (no corrections): -6.86 eV/atom

***

Question: What is the formula in the second record?
Answer: Ir2RhPb

***

Question: What is the energy relative to the elements in the first record?
Answer: 2929.8 meV per atom

***

Copy entry 1 word for word.
VASP calculation (PBE) on a geometry-optimized ReTcIr2Pb structure.

abc: 4.9088 4.9088 4.9962
angles: 90.00 90.00 90.00
Closest atoms and distances in Å follow each position.
Sites, in units of the cell vectors:
Re  0.0000  0.0000  0.0000  2 Pb 2.50
Tc  0.5000  0.5000  0.0000  4 Re 3.47, 8 Ir 3.50
Ir  0.0000  0.5000  0.5000  2 Pb 2.45
Ir  0.5000  0.0000  0.5000  2 Pb 2.45
Pb  0.0000  0.0000  0.5000  4 Ir 2.45, 2 Re 2.50

- Magnetization: 2.1 μB/f.u.
- Energy relative to the elements: 2929.8 meV per atom
- Total DFT energy (no corrections): -5.92 eV/atom